! Mg2SbP PBE relaxed; values from VASP
&SYSTEM
  ibrav = 0, nat = 4, ntyp = 3
/
ATOMIC_SPECIES
Mg 24.30 Mg.upf
Sb 121.76 Sb.upf
P 30.97 P.upf
CELL_PARAMETERS angstrom
0.000 3.486 3.486
3.486 0.000 3.486
3.486 3.486 0.000
ATOMIC_POSITIONS crystal
Mg 0.000 0.000 0.000
Mg 0.250 0.250 0.250
Sb 0.750 0.750 0.750
P 0.500 0.500 0.500
! Excess energy over the best structure of this formula in the dataset in meV/atom: 496
! Symmetry: F-43m, No. 216
! Total energy in eV for the cell shown: -12.1
! DOS(E_F) in states/eV/f.u.: 1.9
! Raw formation energy in meV/atom: 166